No. 1
Ce8CdIr6 | PBE-GGA | relaxed

Results
- E_form: -557 meV/atom
- Uncorrected energy: -7.327 eV/atom
- M_tot: 0.872 μB/f.u.

Unit cell a=4.0447 b=10.2511 c=10.2511 alpha=120.00 beta=90.00 gamma=90.00
Last column: nearest neighbours and their distance in Å.
Element x y z (fractional)
Ir 0.2581 0.4728 0.3782  5 Ce 2.73-2.99, 1 Ir 3.00
Ir 0.7419 0.5272 0.6218  5 Ce 2.73-2.99, 1 Ir 3.00
Ir 0.7419 0.0946 0.4728  5 Ce 2.73-2.99, 1 Ir 3.00
Ir 0.2581 0.6218 0.0946  5 Ce 2.73-2.99, 1 Ir 3.00
Ir 0.2581 0.9054 0.5272  5 Ce 2.73-2.99, 1 Ir 3.00
Ir 0.7419 0.3782 0.9054  5 Ce 2.73-2.99, 1 Ir 3.00
Ce 0.2353 0.3226 0.0533  4 Ir 2.73-2.89
Ce 0.2353 0.7306 0.6774  4 Ir 2.73-2.89
Ce 0.7457 0.6667 0.3333  6 Ir 2.99-3.06
Ce 0.7647 0.0533 0.7306  4 Ir 2.73-2.89
Ce 0.7647 0.6774 0.9467  4 Ir 2.73-2.89
Ce 0.2353 0.9467 0.2694  4 Ir 2.73-2.89
Ce 0.7647 0.2694 0.3226  4 Ir 2.73-2.89
Ce 0.2543 0.3333 0.6667  6 Ir 2.99-3.06
Cd 0.5000 0.0000 0.0000  6 Ce 3.25

No. 2
MoWS | PBE-GGA | relaxed

Results
- Uncorrected energy: -9.241 eV/atom
- ΔE_f (raw): 63 meV/atom
- M_tot: 0.000 μB/f.u.

Unit cell a=2.9320 b=2.9320 c=10.1032 alpha=90.00 beta=90.00 gamma=90.00
Last column: nearest neighbours and their distance in Å.
Element x y z (fractional)
S 0.5000 0.0000 0.7513  4 W 2.56, 4 Mo 2.58
S 0.0000 0.5000 0.2487  4 W 2.56, 4 Mo 2.58
W 0.0000 0.5000 0.8998  4 S 2.56
W 0.5000 0.0000 0.1002  4 S 2.56
Mo 0.5000 0.0000 0.4014  4 S 2.58, 4 Mo 2.87
Mo 0.0000 0.5000 0.5986  4 S 2.58, 4 Mo 2.87

No. 3
ThScZn2Cu2 | PBE-GGA | relaxed

Results
- E_form: -256 meV/atom
- Uncorrected energy: -4.338 eV/atom
- M_tot: 0.001 μB/f.u.

Unit cell a=4.4228 b=4.4228 c=6.5349 alpha=90.00 beta=90.00 gamma=120.00
Last column: nearest neighbours and their distance in Å.
Element x y z (fractional)
Sc 0.0000 0.0000 0.5000  6 Zn 2.89, 6 Cu 2.92
Zn 0.6667 0.3333 0.7081  4 Cu 2.55-2.78
Zn 0.3333 0.6667 0.2919  4 Cu 2.55-2.78
Th 0.0000 0.0000 0.0000  6 Cu 3.15, 6 Zn 3.19, 2 Sc 3.27
Cu 0.6667 0.3333 0.2826  4 Zn 2.55-2.78
Cu 0.3333 0.6667 0.7174  4 Zn 2.55-2.78

No. 4
PmNd6Ho2Er3 | PBE-GGA | relaxed

Results
- E_form: 13 meV/atom
- Uncorrected energy: -4.670 eV/atom
- M_tot: 0.000 μB/f.u.

Unit cell a=6.2678 b=6.2678 c=11.8518 alpha=95.04 beta=95.04 gamma=120.00
Last column: nearest neighbours and their distance in Å.
Element x y z (fractional)
Nd 0.0843 0.4182 0.2519  3 Er 3.57, 2 Ho 3.60-3.61, 1 Pm 3.61, 6 Nd 3.62
Nd 0.2496 0.2496 0.7482  3 Er 3.57, 1 Pm 3.60, 2 Ho 3.60, 6 Nd 3.62
Nd 0.5818 0.9157 0.7481  3 Er 3.57, 2 Ho 3.60-3.61, 1 Pm 3.61, 6 Nd 3.62
Nd 0.4182 0.0843 0.2519  3 Er 3.57, 2 Ho 3.60-3.61, 1 Pm 3.61, 6 Nd 3.62
Nd 0.9157 0.5818 0.7481  3 Er 3.57, 2 Ho 3.60-3.61, 1 Pm 3.61, 6 Nd 3.62
Nd 0.7504 0.7504 0.2518  3 Er 3.57, 1 Pm 3.60, 2 Ho 3.60, 6 Nd 3.62
Er 0.1668 0.8332 0.5000  6 Nd 3.57, 6 Er 3.62
Er 0.8332 0.1668 0.5000  6 Nd 3.57, 6 Er 3.62
Er 0.5000 0.5000 0.5000  6 Nd 3.57, 6 Er 3.62
Ho 0.6666 0.3334 0.0000  6 Nd 3.60-3.61, 3 Ho 3.62, 3 Pm 3.62
Ho 0.3334 0.6666 0.0000  6 Nd 3.60-3.61, 3 Ho 3.62, 3 Pm 3.62
Pm 0.0000 0.0000 0.0000  6 Nd 3.60-3.61, 6 Ho 3.62

No. 5
AsCSe2 | PBE-GGA | relaxed

Results
- Uncorrected energy: -3.582 eV/atom
- ΔE_f (raw): 1628 meV/atom
- M_tot: 0.000 μB/f.u.

Unit cell a=4.5575 b=4.5575 c=4.5575 alpha=60.00 beta=60.00 gamma=60.00
Last column: nearest neighbours and their distance in Å.
Element x y z (fractional)
Se 0.2500 0.2500 0.2500  4 As 2.79, 4 C 2.79
Se 0.7500 0.7500 0.7500  4 As 2.79, 4 C 2.79
As 0.5000 0.5000 0.5000  8 Se 2.79
C 0.0000 0.0000 0.0000  8 Se 2.79

No. 6
Cr | PBE-GGA | relaxed

Results
- E_form: 229 meV/atom
- Uncorrected energy: -9.394 eV/atom
- M_tot: 0.000 μB/f.u.

Unit cell a=8.6063 b=8.6063 c=4.5664 alpha=90.00 beta=90.00 gamma=90.00
Last column: nearest neighbours and their distance in Å.
Element x y z (fractional)
Cr 0.4721 0.1269 0.0000  3 Cr 2.24-2.50
Cr 0.7978 0.7978 0.7435  4 Cr 2.22-2.42
Cr 0.9721 0.3731 0.5000  3 Cr 2.24-2.50
Cr 0.2648 0.4588 0.5000  11 Cr 2.36-2.62
Cr 0.0279 0.6269 0.5000  3 Cr 2.24-2.50
Cr 0.2022 0.2022 0.7435  4 Cr 2.22-2.42
Cr 0.7022 0.2978 0.2435  4 Cr 2.22-2.42
Cr 0.9039 0.0961 0.5000  7 Cr 2.34-2.62
Cr 0.7022 0.2978 0.7565  4 Cr 2.22-2.42
Cr 0.9588 0.2352 0.0000  11 Cr 2.36-2.62
Cr 0.7352 0.5412 0.5000  11 Cr 2.36-2.62
Cr 0.5412 0.7352 0.5000  11 Cr 2.36-2.62
Cr 0.1269 0.4721 0.0000  3 Cr 2.24-2.50
Cr 0.2978 0.7022 0.7565  4 Cr 2.22-2.42
Cr 0.3731 0.9721 0.5000  3 Cr 2.24-2.50
Cr 0.6269 0.0279 0.5000  3 Cr 2.24-2.50
Cr 0.2022 0.2022 0.2565  4 Cr 2.22-2.42
Cr 0.5279 0.8731 0.0000  3 Cr 2.24-2.50
Cr 0.7978 0.7978 0.2565  4 Cr 2.22-2.42
Cr 0.4588 0.2648 0.5000  11 Cr 2.36-2.62
Cr 0.0412 0.7648 0.0000  11 Cr 2.36-2.62
Cr 0.2978 0.7022 0.2435  4 Cr 2.22-2.42
Cr 0.8731 0.5279 0.0000  3 Cr 2.24-2.50
Cr 0.2352 0.9588 0.0000  11 Cr 2.36-2.62
Cr 0.0961 0.9039 0.5000  7 Cr 2.34-2.62
Cr 0.5961 0.5961 0.0000  7 Cr 2.34-2.62
Cr 0.4039 0.4039 0.0000  7 Cr 2.34-2.62
Cr 0.7648 0.0412 0.0000  11 Cr 2.36-2.62